First-principles (GGA-PBE) data for crystalline HfPd3Pt6 at its relaxed geometry, as listed in the Alexandria database.

- M_tot (μB/f.u.) = 0.0
- calculated volume (A^3/atom) = 16.787
- E_form (meV per atom) = -334

Cell lengths 8.8733, 3.9409, 9.8789 Å; angles 90.00, 103.62, 90.00 degrees
Element x y z (fractional)
Hf  0.2010  0.2500  0.1930
Hf  0.7990  0.7500  0.8070
Pd  0.0683  0.7500  0.7259
Pd  0.2961  0.2500  0.8126
Pd  0.3350  0.7500  0.6227
Pd  0.6650  0.2500  0.3773
Pd  0.7039  0.7500  0.1874
Pd  0.9317  0.2500  0.2741
Pt  0.0238  0.2500  0.9047
Pt  0.1087  0.2500  0.5339
Pt  0.2494  0.7500  0.0074
Pt  0.3799  0.2500  0.4525
Pt  0.4231  0.7500  0.2758
Pt  0.4780  0.2500  0.0939
Pt  0.5220  0.7500  0.9061
Pt  0.5769  0.2500  0.7242
Pt  0.6201  0.7500  0.5475
Pt  0.7506  0.2500  0.9926
Pt  0.8913  0.7500  0.4661
Pt  0.9762  0.7500  0.0953

---

First-principles (GGA-PBE) data for crystalline HfPdPt3 at its relaxed geometry, as listed in the Alexandria database.

- M_tot (μB/f.u.) = 0.0
- calculated volume (A^3/atom) = 16.308
- E_form (meV per atom) = -789

Cell lengths 7.6421, 7.6421, 5.7108 Å; angles 101.78, 101.78, 30.02 degrees
Element x y z (fractional)
Hf  0.1089  0.1089  0.0565
Hf  0.8911  0.8911  0.9435
Pd  0.3015  0.3015  0.6482
Pd  0.6985  0.6985  0.3518
Pt  0.1001  0.1001  0.5548
Pt  0.3012  0.3012  0.1523
Pt  0.4985  0.4985  0.7532
Pt  0.5015  0.5015  0.2468
Pt  0.6988  0.6988  0.8477
Pt  0.8999  0.8999  0.4452